Here is CrSb2Te after structural relaxation from Alexandria via LeMat-Bulk. Energies are from GGA-PBEsol.

Properties
Final energy ... -5.272 eV per atom
Total moment ... 4.10 Bohr magnetons per cell
Uncorrected formation energy ... 448 meV/atom

abc: 5.2233 5.2233 3.4768
angles: 90.00 90.00 90.00
Space group P4/mmm (No. 123)
Unique sites:
1 Cr 0.0000 0.0000 0.0000 [1 per cell]
2 Sb 0.0000 0.5000 0.5000 [2 per cell]
3 Te 0.5000 0.5000 0.0000 [1 per cell]

***

Here is CoSiSe2 after structural relaxation from Alexandria via LeMat-Bulk. Energies are from GGA-PBEsol.

Properties
Final energy ... -4.924 eV per atom
Total moment ... 0.11 Bohr magnetons per cell
Uncorrected formation energy ... 372 meV/atom

abc: 4.4621 4.4621 3.0250
angles: 90.00 90.00 90.00
Space group P4/mmm (No. 123)
Unique sites:
1 Co 0.0000 0.0000 0.0000 [1 per cell]
2 Si 0.5000 0.5000 0.0000 [1 per cell]
3 Se 0.0000 0.5000 0.5000 [2 per cell]

***

Here is BaIr2O6 after structural relaxation from Alexandria via LeMat-Bulk. Energies are from GGA-PBEsol.

Properties
Final energy ... -7.168 eV per atom
Total moment ... 0.00 Bohr magnetons per cell
Uncorrected formation energy ... -1247 meV/atom

abc: 13.3615 13.3615 8.1081
angles: 90.00 90.00 120.00
Space group R3 (No. 146, hexagonal axes)
Unique sites:
1 Ba 0.2079 0.7888 0.0000 [9 per cell]
2 Ir 0.0558 0.4508 0.3207 [9 per cell]
3 Ir 0.1170 0.7273 0.4429 [9 per cell]
4 O 0.0157 0.3403 0.8390 [9 per cell]
5 O 0.0284 0.6927 0.2354 [9 per cell]
6 O 0.0839 0.8655 0.7978 [9 per cell]
7 O 0.0934 0.5482 0.1187 [9 per cell]
8 O 0.2022 0.4568 0.3136 [9 per cell]
9 O 0.2087 0.7881 0.6458 [9 per cell]

***

Here is Na4Bi2O5 after structural relaxation from Alexandria via LeMat-Bulk. Energies are from GGA-PBEsol.

Properties
Final energy ... -5.061 eV per atom
Total moment ... 0.00 Bohr magnetons per cell
Uncorrected formation energy ... -1387 meV/atom

abc: 4.9557 8.7989 8.9865
angles: 104.32 105.54 106.05
Space group P-1 (No. 2)
Unique sites:
1 Na 0.0953 0.0062 0.1752 [2 per cell]
2 Na 0.1113 0.7023 0.5397 [2 per cell]
3 Na 0.1300 0.3804 0.8755 [2 per cell]
4 Na 0.3767 0.7962 0.9520 [2 per cell]
5 Bi 0.3584 0.4407 0.2684 [2 per cell]
6 Bi 0.3835 0.1247 0.6301 [2 per cell]
7 O 0.1409 0.2254 0.0617 [2 per cell]
8 O 0.1876 0.8788 0.3822 [2 per cell]
9 O 0.1973 0.5454 0.7061 [2 per cell]
10 O 0.3610 0.9759 0.7742 [2 per cell]
11 O 0.3696 0.6200 0.1451 [2 per cell]

***

Here is CrIrC2 after structural relaxation from Alexandria via LeMat-Bulk. Energies are from GGA-PBEsol.

Properties
Final energy ... -8.826 eV per atom
Energy of formation ... 1.012 eV per atom
Total moment ... 0.00 Bohr magnetons per cell

abc: 5.1861 5.1861 5.1861
angles: 90.00 90.00 90.00
Space group Fm-3m (No. 225)
Unique sites:
1 Cr 0.0000 0.0000 0.0000 [4 per cell]
2 Ir 0.0000 0.0000 0.5000 [4 per cell]
3 C 0.2500 0.2500 0.2500 [8 per cell]

***

Here is Rb3GeP after structural relaxation from Alexandria via LeMat-Bulk. Energies are from GGA-PBEsol.

Properties
Final energy ... -2.350 eV per atom
Energy of formation ... 0.411 eV per atom
Total moment ... 4.00 Bohr magnetons per cell

abc: 6.3730 6.3730 6.3730
angles: 90.00 90.00 90.00
Space group Pm-3m (No. 221)
Unique sites:
1 Rb 0.0000 0.0000 0.5000 [3 per cell]
2 Ge 0.5000 0.5000 0.5000 [1 per cell]
3 P 0.0000 0.0000 0.0000 [1 per cell]